Density functional theory data (PBE-GGA) for a geometry-optimized ScSnSb3 structure.

CIF file:
```
data_ScSnSb3
_chemical_formula_sum 'Sc1 Sn1 Sb3'
_symmetry_space_group_name_H-M 'P m -3 m'
_symmetry_Int_Tables_number 221
_symmetry_space_group_name_Hall '-P 4 2 3'
_cell_length_a 5.5622
_cell_length_b 5.5622
_cell_length_c 5.5622
_cell_angle_alpha 90.00
_cell_angle_beta 90.00
_cell_angle_gamma 90.00
loop_
_atom_site_label
_atom_site_fract_x
_atom_site_fract_y
_atom_site_fract_z
Sc1 0.0000 0.0000 0.0000
Sn1 0.5000 0.5000 0.5000
Sb1 0.0000 0.5000 0.5000
```

Output
**D(E_F)**: 7.04 states/eV per cell
**Raw formation energy**: 66 kJ per mole of atoms
**ρ**: 5.1 Mg/m³


Density functional theory data (PBE-GGA) for a geometry-optimized Rb4GeTe5 structure.

CIF file:
```
data_Rb4GeTe5
_chemical_formula_sum 'Rb8 Ge2 Te10'
_symmetry_space_group_name_H-M 'I 4'
_symmetry_Int_Tables_number 79
_cell_length_a 11.3392
_cell_length_b 11.3392
_cell_length_c 7.4677
_cell_angle_alpha 90.00
_cell_angle_beta 90.00
_cell_angle_gamma 90.00
loop_
_symmetry_equiv_pos_as_xyz
'x,y,z'
'-y,x,z'
'-x,-y,z'
'y,-x,z'
'x+1/2,y+1/2,z+1/2'
'-y+1/2,x+1/2,z+1/2'
'-x+1/2,-y+1/2,z+1/2'
'y+1/2,-x+1/2,z+1/2'
loop_
_atom_site_label
_atom_site_fract_x
_atom_site_fract_y
_atom_site_fract_z
Rb1 0.0858 0.7051 0.0000
Ge1 0.0000 0.0000 0.6093
Te1 0.0000 0.0000 0.9553
Te2 0.0661 0.7804 0.4974
```

Output
**D(E_F)**: 13.73 states/eV per cell
**Raw formation energy**: -50 kJ per mole of atoms
**ρ**: 3.6 Mg/m³


Density functional theory data (PBE-GGA) for a geometry-optimized ZrTe2Pd structure.

CIF file:
```
data_ZrTe2Pd
_chemical_formula_sum 'Zr4 Te8 Pd4'
_symmetry_space_group_name_H-M 'F m -3 m'
_symmetry_Int_Tables_number 225
_symmetry_space_group_name_Hall '-F 4 2 3'
_cell_length_a 7.0994
_cell_length_b 7.0994
_cell_length_c 7.0994
_cell_angle_alpha 90.00
_cell_angle_beta 90.00
_cell_angle_gamma 90.00
loop_
_atom_site_label
_atom_site_fract_x
_atom_site_fract_y
_atom_site_fract_z
Zr1 0.0000 0.0000 0.0000
Te1 0.2500 0.2500 0.2500
Pd1 0.0000 0.0000 0.5000
```

Output
**D(E_F)**: 13.91 states/eV per cell
**Raw formation energy**: -38 kJ per mole of atoms
**ρ**: 8.4 Mg/m³


Density functional theory data (PBE-GGA) for a geometry-optimized LaNdSn structure.

CIF file:
```
data_LaNdSn
_chemical_formula_sum 'La1 Nd1 Sn1'
_symmetry_space_group_name_H-M 'P 3 m 1'
_symmetry_Int_Tables_number 156
_cell_length_a 5.2504
_cell_length_b 5.2504
_cell_length_c 3.9867
_cell_angle_alpha 90.00
_cell_angle_beta 90.00
_cell_angle_gamma 120.00
loop_
_symmetry_equiv_pos_as_xyz
'x,y,z'
'-y,x-y,z'
'-x+y,-x,z'
'-y,-x,z'
'-x+y,y,z'
'x,x-y,z'
loop_
_atom_site_label
_atom_site_fract_x
_atom_site_fract_y
_atom_site_fract_z
La1 0.0000 0.0000 0.0000
Nd1 0.6667 0.3333 0.4168
Sn1 0.3333 0.6667 0.6646
```

Output
**ΔH_f (0 K)**: -0.406 eV per atom
**D(E_F)**: 2.66 states/eV per cell
**ρ**: 7.0 Mg/m³


Density functional theory data (PBE-GGA) for a geometry-optimized Ba6RuAu2 structure.

CIF file:
```
data_Ba6RuAu2
_chemical_formula_sum 'Ba12 Ru2 Au4'
_symmetry_space_group_name_H-M 'P 1 21/c 1'
_symmetry_Int_Tables_number 14
_cell_length_a 8.1072
_cell_length_b 7.6196
_cell_length_c 15.9742
_cell_angle_alpha 90.00
_cell_angle_beta 120.48
_cell_angle_gamma 90.00
loop_
_symmetry_equiv_pos_as_xyz
'x,y,z'
'-x,-y,-z'
'-x,y+1/2,-z+1/2'
'x,-y+1/2,z+1/2'
loop_
_atom_site_label
_atom_site_fract_x
_atom_site_fract_y
_atom_site_fract_z
Ba1 0.0020 0.2287 0.1579
Ba2 0.3126 0.7318 0.6567
Ba3 0.3150 0.2253 0.0003
Ru1 0.0000 0.0000 0.0000
Au1 0.3242 0.0010 0.8237
```

Output
**ΔH_f (0 K)**: -0.247 eV per atom
**D(E_F)**: 12.28 states/eV per cell
**ρ**: 5.2 Mg/m³


Density functional theory data (PBE-GGA) for a geometry-optimized Ac2CuC structure.

CIF file:
```
data_Ac2CuC
_chemical_formula_sum 'Ac6 Cu3 C3'
_symmetry_space_group_name_H-M 'R -3 m'
_symmetry_Int_Tables_number 166
_symmetry_space_group_name_Hall '-R 3 2"'
_cell_length_a 3.9872
_cell_length_b 3.9872
_cell_length_c 22.9228
_cell_angle_alpha 90.00
_cell_angle_beta 90.00
_cell_angle_gamma 120.00
loop_
_atom_site_label
_atom_site_fract_x
_atom_site_fract_y
_atom_site_fract_z
Ac1 0.0000 0.0000 0.2344
Cu1 0.0000 0.0000 0.0000
C1 0.0000 0.0000 0.5000
```

Output
**ΔH_f (0 K)**: 0.147 eV per atom
**D(E_F)**: 9.27 states/eV per cell
**ρ**: 8.4 Mg/m³


Density functional theory data (PBE-GGA) for a geometry-optimized MgPb2Au2 structure.

CIF file:
```
data_MgPb2Au2
_chemical_formula_sum 'Mg2 Pb4 Au4'
_symmetry_space_group_name_H-M 'P 4/m b m'
_symmetry_Int_Tables_number 127
_symmetry_space_group_name_Hall '-P 4 2ab'
_cell_length_a 7.4214
_cell_length_b 7.4214
_cell_length_c 4.4238
_cell_angle_alpha 90.00
_cell_angle_beta 90.00
_cell_angle_gamma 90.00
loop_
_atom_site_label
_atom_site_fract_x
_atom_site_fract_y
_atom_site_fract_z
Mg1 0.0000 0.0000 0.0000
Pb1 0.1667 0.3333 0.5000
Au1 0.1410 0.6410 0.0000
```

Output
**ΔH_f (0 K)**: -0.164 eV per atom
**D(E_F)**: 4.45 states/eV per cell
**ρ**: 11.3 Mg/m³


Density functional theory data (PBE-GGA) for a geometry-optimized Pr4Nd2Er3 structure.

CIF file:
```
data_Pr4Nd2Er3
_chemical_formula_sum 'Pr8 Nd4 Er6'
_symmetry_space_group_name_H-M 'C 1 2/m 1'
_symmetry_Int_Tables_number 12
_cell_length_a 11.4987
_cell_length_b 5.1532
_cell_length_c 10.9078
_cell_angle_alpha 90.00
_cell_angle_beta 108.24
_cell_angle_gamma 90.00
loop_
_symmetry_equiv_pos_as_xyz
'x,y,z'
'-x,-y,-z'
'-x,y,-z'
'x,-y,z'
'x+1/2,y+1/2,z'
'-x+1/2,-y+1/2,-z'
'-x+1/2,y+1/2,-z'
'x+1/2,-y+1/2,z'
loop_
_atom_site_label
_atom_site_fract_x
_atom_site_fract_y
_atom_site_fract_z
Pr1 0.0021 0.0000 0.3348
Pr2 0.1662 0.5000 0.8881
Nd1 0.1678 0.5000 0.2249
Er1 0.0000 0.0000 0.0000
Er2 0.1655 0.5000 0.5533
```

Output
**ΔH_f (0 K)**: 0.019 eV per atom
**D(E_F)**: 25.28 states/eV per cell
**ρ**: 7.3 Mg/m³


Density functional theory data (PBE-GGA) for a geometry-optimized Cu2AuCl6 structure.

CIF file:
```
data_Cu2AuCl6
_chemical_formula_sum 'Cu8 Au4 Cl24'
_symmetry_space_group_name_H-M 'C 1 2/c 1'
_symmetry_Int_Tables_number 15
_cell_length_a 12.0419
_cell_length_b 10.5218
_cell_length_c 7.3843
_cell_angle_alpha 90.00
_cell_angle_beta 90.67
_cell_angle_gamma 90.00
loop_
_symmetry_equiv_pos_as_xyz
'x,y,z'
'-x,-y,-z'
'-x,y,-z+1/2'
'x,-y,z+1/2'
'x+1/2,y+1/2,z'
'-x+1/2,-y+1/2,-z'
'-x+1/2,y+1/2,-z+1/2'
'x+1/2,-y+1/2,z+1/2'
loop_
_atom_site_label
_atom_site_fract_x
_atom_site_fract_y
_atom_site_fract_z
Cu1 0.1812 0.0480 0.1893
Au1 0.0000 0.3850 0.2500
Cl1 0.1241 0.4523 0.8391
Cl2 0.1263 0.2290 0.3526
Cl3 0.1382 0.0950 0.9014
```

Output
**D(E_F)**: 21.62 states/eV per cell
**Raw formation energy**: -38 kJ per mole of atoms
**ρ**: 3.8 Mg/m³


Density functional theory data (PBE-GGA) for a geometry-optimized CdHg2Ir structure.

CIF file:
```
data_CdHg2Ir
_chemical_formula_sum 'Cd4 Hg8 Ir4'
_symmetry_space_group_name_H-M 'F -4 3 m'
_symmetry_Int_Tables_number 216
_symmetry_space_group_name_Hall 'F -4 2 3'
_cell_length_a 6.7710
_cell_length_b 6.7710
_cell_length_c 6.7710
_cell_angle_alpha 90.00
_cell_angle_beta 90.00
_cell_angle_gamma 90.00
loop_
_atom_site_label
_atom_site_fract_x
_atom_site_fract_y
_atom_site_fract_z
Cd1 0.0000 0.0000 0.0000
Hg1 0.0000 0.0000 0.5000
Hg2 0.2500 0.2500 0.7500
Ir1 0.2500 0.2500 0.2500
```

Output
**ΔH_f (0 K)**: 0.427 eV per atom
**D(E_F)**: 12.14 states/eV per cell
**ρ**: 15.1 Mg/m³


Density functional theory data (PBE-GGA) for a geometry-optimized PmTcB4 structure.

CIF file:
```
data_PmTcB4
_chemical_formula_sum 'Pm4 Tc4 B16'
_symmetry_space_group_name_H-M 'P b a m'
_symmetry_Int_Tables_number 55
_cell_length_a 6.0444
_cell_length_b 11.7065
_cell_length_c 3.6642
_cell_angle_alpha 90.00
_cell_angle_beta 90.00
_cell_angle_gamma 90.00
loop_
_symmetry_equiv_pos_as_xyz
'x,y,z'
'-x,-y,-z'
'-x,-y,z'
'x,y,-z'
'x+1/2,-y+1/2,-z'
'-x+1/2,y+1/2,z'
'-x+1/2,y+1/2,-z'
'x+1/2,-y+1/2,z'
loop_
_atom_site_label
_atom_site_fract_x
_atom_site_fract_y
_atom_site_fract_z
Pm1 0.1252 0.1504 0.0000
Tc1 0.1301 0.4137 0.0000
B1 0.0235 0.6904 0.5000
B2 0.1119 0.5461 0.5000
B3 0.1389 0.9680 0.5000
B4 0.2170 0.8164 0.5000
```

Output
**ΔH_f (0 K)**: -0.557 eV per atom
**D(E_F)**: 8.38 states/eV per cell
**ρ**: 7.3 Mg/m³


Density functional theory data (PBE-GGA) for a geometry-optimized CaZrSc2 structure.

CIF file:
```
data_CaZrSc2
_chemical_formula_sum 'Ca2 Zr2 Sc4'
_symmetry_space_group_name_H-M 'I m m 2'
_symmetry_Int_Tables_number 44
_cell_length_a 3.4579
_cell_length_b 5.5523
_cell_length_c 11.1277
_cell_angle_alpha 90.00
_cell_angle_beta 90.00
_cell_angle_gamma 90.00
loop_
_symmetry_equiv_pos_as_xyz
'x,y,z'
'-x,-y,z'
'-x,y,z'
'x,-y,z'
'x+1/2,y+1/2,z+1/2'
'-x+1/2,-y+1/2,z+1/2'
'-x+1/2,y+1/2,z+1/2'
'x+1/2,-y+1/2,z+1/2'
loop_
_atom_site_label
_atom_site_fract_x
_atom_site_fract_y
_atom_site_fract_z
Ca1 0.0000 0.0000 0.0000
Zr1 0.0000 0.5000 0.2313
Sc1 0.0000 0.0000 0.5023
Sc2 0.0000 0.5000 0.7647
```

Output
**ΔH_f (0 K)**: 0.271 eV per atom
**D(E_F)**: 14.91 states/eV per cell
**ρ**: 3.4 Mg/m³